Entry from Alexandria via LeMat-Bulk: La2BeFeRu after structural relaxation (PBE).

Cell and atoms, written as POSCAR:
```
La2BeFeRu
1.0
5.511 0.000 0.000
0.000 5.511 0.000
0.000 0.000 4.426
La Be Fe Ru
2 1 1 1
Direct
0.000 0.500 0.000
0.500 0.000 0.000
0.000 0.000 0.500
0.500 0.500 0.500
0.500 0.500 0.000
```

Computed properties:
**DOS(E_F)**: 6.2 states/eV/f.u.
**Uncorrected energy**: -28.57 eV/cell